Entry 1:
Entry from Alexandria via LeMat-Bulk: crystalline ZnSiBi3 at its relaxed geometry (PBE).

abc: 5.4578 5.4578 5.4578
angles: 90.00 90.00 90.00
With the nearest neighbours (Å) after each atom.
Space group Pm-3m (No. 221)
One atom of each set of equivalent atoms:
Zn  0.0000  0.0000  0.0000 (multiplicity 1)  12 Bi 3.86
Si  0.5000  0.5000  0.5000 (multiplicity 1)  6 Bi 2.73
Bi  0.0000  0.5000  0.5000 (multiplicity 3)  2 Si 2.73

Output
The raw formation energy is 0.6884 eV/atom. As for the calculated density: 7.4 g/cm³. Its total energy is -2.980 eV/atom.

Entry 2:
Entry from Alexandria via LeMat-Bulk: crystalline Zn2SiBi at its relaxed geometry (PBE).

abc: 4.8791 4.8791 15.5306
angles: 90.00 90.00 90.00
With the nearest neighbours (Å) after each atom.
Space group I-42d (No. 122)
One atom of each set of equivalent atoms:
Zn  0.1601  0.2500  0.1250 (multiplicity 8)  2 Si 2.42
Si  0.0000  0.0000  0.0000 (multiplicity 4)  4 Zn 2.42
Bi  0.0000  0.0000  0.5000 (multiplicity 4)  4 Zn 2.83

Output
The raw formation energy is 0.2602 eV/atom. As for the calculated density: 6.6 g/cm³. Its total energy is -2.703 eV/atom.

Look up the calculated density of the second one.
6.6 g/cm³

The highest raw formation energy belongs to which entry?
ZnSiBi3